No. 1
4
Lattice="3.378 0.000 0.000 0.000 3.378 0.000 0.000 0.000 7.914" Properties=species:S:1:pos:R:3 comment="Ag2TeP | Alexandria | GGA-PBE | relaxed" formation_energy_uncorrected_mev_per_atom=310 relative_energy_ev_per_atom=0.107 pbc="T T T"
Ag 0.000 0.000 0.000
Ag 1.689 1.689 1.785
Te 1.689 1.689 5.968
P 0.000 0.000 2.709



No. 2
5
Lattice="4.866 0.000 0.000 0.000 4.866 0.000 0.000 0.000 4.866" Properties=species:S:1:pos:R:3 comment="Ti3HgMo | Alexandria | GGA-PBE | relaxed" ef_ev_per_atom=1.629 relative_energy_ev_per_atom=1.688 pbc="T T T"
Ti 0.000 0.000 2.433
Ti 0.000 2.433 0.000
Ti 2.433 0.000 0.000
Hg 0.000 0.000 0.000
Mo 2.433 2.433 2.433



No. 3
4
Lattice="1.445 0.834 9.842 -1.445 0.834 9.842 0.000 -1.668 9.842" Properties=species:S:1:pos:R:3 comment="LaMnOs2 | Alexandria | GGA-PBE | relaxed" ef_ev_per_atom=0.671 relative_energy_ev_per_atom=0.392 pbc="T T T"
La 0.000 0.000 0.000
Mn 0.000 0.000 22.558
Os 0.000 0.000 7.021
Os 0.000 0.000 14.832



No. 4
24
Lattice="0.000 6.192 13.070 4.379 0.000 13.070 4.379 6.192 0.000" Properties=species:S:1:pos:R:3 comment="Ac2LaPd3 | Alexandria | GGA-PBE | relaxed" ef_ev_per_atom=-0.772 pbc="T T T"
Ac 1.095 1.548 1.102
Ac 3.284 4.644 3.252
Ac 1.095 1.548 5.433
Ac 5.474 7.740 9.787
Ac 3.284 4.644 16.353
Ac 7.663 10.835 20.707
Ac 5.474 7.740 22.888
Ac 7.663 10.835 25.039
La 3.284 4.644 7.620
La 3.284 4.644 11.985
La 5.474 7.740 14.155
La 5.474 7.740 18.520
Pd 3.316 1.591 7.587
Pd 5.408 4.644 9.803
Pd 3.252 1.591 12.019
Pd 5.442 4.687 14.122
Pd 7.597 7.740 16.338
Pd 5.506 4.687 18.554
Pd 3.252 7.697 7.587
Pd 1.161 4.644 9.803
Pd 3.316 7.697 12.019
Pd 5.506 10.793 14.122
Pd 3.350 7.740 16.338
Pd 5.442 10.793 18.554



No. 5
4
Lattice="1.813 1.046 7.564 -1.813 1.046 7.564 0.000 -2.093 7.564" Properties=species:S:1:pos:R:3 comment="CaNbGe2 | Alexandria | GGA-PBE | relaxed" ef_ev_per_atom=-0.287 pbc="T T T"
Ca 0.000 0.000 0.000
Nb 0.000 0.000 11.345
Ge 0.000 0.000 5.448
Ge 0.000 0.000 17.243



No. 6
11
Lattice="-3.076 3.076 4.969 3.076 -3.076 4.969 3.076 3.076 -4.969" Properties=species:S:1:pos:R:3 comment="Cu4PdPt6 | Alexandria | GGA-PBE | relaxed" ef_ev_per_atom=0.307 pbc="T T T"
Cu 1.572 1.572 -1.502
Cu 1.504 -1.504 6.471
Cu 1.504 1.504 3.467
Cu -1.504 1.504 6.471
Pd 0.000 0.000 4.969
Pt 3.076 0.000 0.000
Pt 2.139 -2.139 3.827
Pt 0.937 0.937 1.142
Pt 0.000 3.076 0.000
Pt -2.139 2.139 3.827
Pt 2.139 2.139 6.111



No. 7
12
Lattice="8.444 -3.738 0.000 8.444 3.738 0.000 -1.689 0.000 5.078" Properties=species:S:1:pos:R:3 comment="La5PmAu6 | Alexandria | GGA-PBE | relaxed" ef_ev_per_atom=-0.779 pbc="T T T"
La 0.000 0.000 0.000
La 1.666 0.000 3.378
La 5.034 0.000 1.682
La 10.166 0.000 3.396
La 13.534 0.000 1.700
Pm 8.444 0.000 0.000
Au 4.270 1.822 4.247
Au 7.600 1.775 2.539
Au 10.930 1.822 0.831
Au 4.270 -1.822 4.247
Au 7.600 -1.775 2.539
Au 10.930 -1.822 0.831



| no. | electronic total energy (eV per atom) | Fermi-level density of states (states/eV/cell) |
| --- | --- | --- |
| 1 | -3.25 | 1.65 |
| 2 | -5.33 | 10.89 |
| 3 | -8.47 | 4.87 |
| 4 | -5.56 | 13.81 |
| 5 | -5.61 | 1.56 |
| 6 | -4.95 | 15.11 |
| 7 | -4.87 | 10.40 |